1.
NpUV PBE optimized geometry; E = -10.7730 eV per atom; SG = P-1; E above lowest polymorph = 124 meV per atom; mass density = 16.586 Mg/m³
1.0
4.9182 0.0000 0.0000
-1.6687 4.8300 0.0000
-1.6145 -2.4171 4.4335
Np U V
2 2 2
direct
0.0000 0.0000 0.0000
0.5000 0.0000 0.0000
0.1080 0.3578 0.7166
0.8920 0.6422 0.2834
0.4602 0.7096 0.4197
0.5398 0.2904 0.5803



2.
V2CoBi PBE optimized geometry; E = -6.7910 eV per atom; SG = I-42d; mass density = 9.234 Mg/m³
1.0
-3.5140 3.5140 2.6926
3.5140 -3.5140 2.6926
3.5140 3.5140 -2.6926
V Co Bi
4 2 2
direct
0.0699 0.6250 0.9449
0.3750 0.3199 0.4449
0.6801 0.1250 0.0551
0.8750 0.9301 0.5551
0.0000 0.0000 0.0000
0.7500 0.2500 0.5000
0.2500 0.7500 0.5000
0.5000 0.5000 0.0000



What did we get for formation energy? Answer: 342.9; 515.0 meV per atom, in the order shown.